# PBE SmSnHgPb, relaxed
# energy above the lowest structure with this stoichiometry: 0.000 eV/atom
# calculated total energy: -3.603 eV per atom
# DFT formation energy: -0.420 eV/atom
data_SmSnHgPb
_symmetry_space_group_name_H-M 'P m m m'
_symmetry_Int_Tables_number 47
_cell_length_a 4.6017
_cell_length_b 4.8128
_cell_length_c 4.8182
_cell_angle_alpha 90.00
_cell_angle_beta 90.00
_cell_angle_gamma 90.00
loop_
_symmetry_equiv_pos_as_xyz
'x,y,z'
'-x,-y,-z'
'-x,-y,z'
'x,y,-z'
'x,-y,-z'
'-x,y,z'
'-x,y,-z'
'x,-y,z'
loop_
_atom_site_label
_atom_site_type_symbol
_atom_site_fract_x
_atom_site_fract_y
_atom_site_fract_z
Sm1 Sm 0.0000 0.0000 0.0000
Sn1 Sn 0.5000 0.5000 0.0000
Hg1 Hg 0.0000 0.5000 0.5000
Pb1 Pb 0.5000 0.0000 0.5000